Entry 1:
The following is a SCAN calculation of TiTlC2 at its PBEsol-relaxed geometry, from Alexandria via LeMat-Bulk.

formation enthalpy at 0 K	1.782	eV/atom
VASP energy	-25.3648	eV/atom
density	9.55	g/cm3

Structure (CIF):
```
data_TiTlC2
_symmetry_space_group_name_H-M 'P 1'
_symmetry_Int_Tables_number 1
_cell_length_a 4.081
_cell_length_b 4.081
_cell_length_c 4.081
_cell_angle_alpha 60.00
_cell_angle_beta 60.00
_cell_angle_gamma 60.00
loop_
_symmetry_equiv_pos_as_xyz
'x,y,z'
loop_
_atom_site_label
_atom_site_type_symbol
_atom_site_fract_x
_atom_site_fract_y
_atom_site_fract_z
Ti1 Ti 0.000 0.000 0.000
Tl1 Tl 0.500 0.500 0.500
C1 C 0.250 0.250 0.250
C2 C 0.750 0.750 0.750
```


Entry 2:
The following is a SCAN calculation of TiVC2 at its PBEsol-relaxed geometry, from Alexandria via LeMat-Bulk.

formation enthalpy at 0 K	-0.740	eV/atom
VASP energy	-14.1693	eV/atom
density	5.49	g/cm3

Structure (CIF):
```
data_TiVC2
_symmetry_space_group_name_H-M 'P 1'
_symmetry_Int_Tables_number 1
_cell_length_a 5.157
_cell_length_b 5.157
_cell_length_c 5.157
_cell_angle_alpha 33.46
_cell_angle_beta 33.46
_cell_angle_gamma 33.46
loop_
_symmetry_equiv_pos_as_xyz
'x,y,z'
loop_
_atom_site_label
_atom_site_type_symbol
_atom_site_fract_x
_atom_site_fract_y
_atom_site_fract_z
Ti1 Ti 0.000 0.000 0.000
V1 V 0.500 0.500 0.500
C1 C 0.247 0.247 0.247
C2 C 0.753 0.753 0.753
```


Entry 3:
The following is a SCAN calculation of Ti4WC5 at its PBEsol-relaxed geometry, from Alexandria via LeMat-Bulk.

formation enthalpy at 0 K	-0.749	eV/atom
VASP energy	-19.1794	eV/atom
density	7.25	g/cm3

Structure (CIF):
```
data_Ti4WC5
_symmetry_space_group_name_H-M 'P 1'
_symmetry_Int_Tables_number 1
_cell_length_a 12.593
_cell_length_b 12.593
_cell_length_c 12.593
_cell_angle_alpha 13.86
_cell_angle_beta 13.86
_cell_angle_gamma 13.86
loop_
_symmetry_equiv_pos_as_xyz
'x,y,z'
loop_
_atom_site_label
_atom_site_type_symbol
_atom_site_fract_x
_atom_site_fract_y
_atom_site_fract_z
Ti1 Ti 0.099 0.099 0.099
Ti2 Ti 0.300 0.300 0.300
Ti3 Ti 0.700 0.700 0.700
Ti4 Ti 0.901 0.901 0.901
W1 W 0.500 0.500 0.500
C1 C 0.000 0.000 0.000
C2 C 0.200 0.200 0.200
C3 C 0.400 0.400 0.400
C4 C 0.600 0.600 0.600
C5 C 0.800 0.800 0.800
```


It is found that the DOS at the Fermi energy values, taken in the order of the records, are 2.4; 1.6; 2.0 states/eV/cell.